*P*
U2GaMo | PBE | relaxed

Unit cell a=6.9034 b=6.9034 c=6.9034 alpha=90.00 beta=90.00 gamma=90.00
Space group Fm-3m (No. 225)
Asymmetric unit:
U 0.2500 0.2500 0.2500 x8
Ga 0.0000 0.0000 0.0000 x4
Mo 0.0000 0.0000 0.5000 x4

Results
Total moment ... 3.37 μB/f.u.

*Q*
U2GaMo | PBE | relaxed

Unit cell a=4.0749 b=4.0749 c=4.4565 alpha=90.00 beta=90.00 gamma=90.00
Space group P4/mmm (No. 123)
Asymmetric unit:
U 0.0000 0.5000 0.0000 x2
Ga 0.0000 0.0000 0.5000 x1
Mo 0.5000 0.5000 0.5000 x1

Results
Total moment ... 0.05 μB/f.u.

Energetically preferred structure: *Q* | next structure: +326 meV/atom

*P*
UGa2Mo | PBE | relaxed

Unit cell a=2.9003 b=2.9003 c=29.1207 alpha=90.00 beta=90.00 gamma=120.00
Space group R-3m (No. 166, hexagonal axes)
Asymmetric unit:
U 0.0000 0.0000 0.0000 x3
Ga 0.0000 0.0000 0.2418 x6
Mo 0.0000 0.0000 0.5000 x3

Results
Total moment ... 1.61 μB/f.u.

*Q*
UGa2Mo | PBE | relaxed

Unit cell a=4.6361 b=6.4951 c=5.0898 alpha=90.00 beta=105.69 gamma=90.00
Space group P2_1/m (No. 11)
Asymmetric unit:
U 0.0311 0.2500 0.1306 x2
Ga 0.4301 0.0503 0.7331 x4
Mo 0.0958 0.7500 0.4133 x2

Results
Total moment ... 1.63 μB/f.u.

Energetically preferred structure: *Q* | next structure: +152 meV/atom

*P*
V3GaMo | PBE | relaxed

Unit cell a=4.5438 b=4.5438 c=4.5438 alpha=90.00 beta=90.00 gamma=90.00
Space group Pm-3m (No. 221)
Asymmetric unit:
V 0.0000 0.0000 0.5000 x3
Ga 0.5000 0.5000 0.5000 x1
Mo 0.0000 0.0000 0.0000 x1

Results
Total moment ... 0.00 μB/f.u.

*Q*
V3GaMo | PBE | relaxed

Unit cell a=4.4241 b=4.4241 c=4.4241 alpha=90.00 beta=90.00 gamma=90.00
Space group Pm-3m (No. 221)
Asymmetric unit:
V 0.0000 0.0000 0.5000 x3
Ga 0.0000 0.0000 0.0000 x1
Mo 0.5000 0.5000 0.5000 x1

Results
Total moment ... 1.21 μB/f.u.

Energetically preferred structure: *P* | next structure: +124 meV/atom

*P*
V3GaMo | PBE | relaxed

Unit cell a=4.3464 b=13.1339 c=5.0050 alpha=90.00 beta=90.00 gamma=90.00
Space group Cmcm (No. 63)
Asymmetric unit:
V 0.0000 0.0149 0.2500 x4
V 0.0000 0.1953 0.5052 x8
Ga 0.0000 0.3740 0.7500 x4
Mo 0.0000 0.4130 0.2500 x4

Results
Total moment ... 0.00 μB/f.u.

*Q*
V3GaMo | PBE | relaxed

Unit cell a=12.9714 b=4.3483 c=5.2440 alpha=90.00 beta=105.22 gamma=90.00
Space group C2/m (No. 12)
Asymmetric unit:
V 0.0025 0.0000 0.2639 x4
V 0.0983 0.5000 0.4693 x4
V 0.1911 0.0000 0.7540 x4
Ga 0.1026 0.5000 0.9630 x4
Mo 0.1966 0.0000 0.2805 x4

Results
Total moment ... 0.00 μB/f.u.

Energetically preferred structure: *Q* | next structure: +94 meV/atom

*P*
VGa3Mo | PBE | relaxed

Unit cell a=9.2310 b=5.3310 c=7.3843 alpha=90.00 beta=114.56 gamma=90.00
Space group C2/m (No. 12)
Asymmetric unit:
V 0.1625 0.0000 0.4906 x4
Ga 0.1051 0.0000 0.8105 x4
Ga 0.1477 0.2528 0.1908 x8
Mo 0.1170 0.5000 0.8505 x4

Results
Total moment ... 0.00 μB/f.u.

*Q*
VGa3Mo | PBE | relaxed

Unit cell a=4.8289 b=4.8289 c=4.8289 alpha=90.00 beta=90.00 gamma=90.00
Space group Pm-3m (No. 221)
Asymmetric unit:
V 0.0000 0.0000 0.0000 x1
Ga 0.0000 0.5000 0.5000 x3
Mo 0.5000 0.5000 0.5000 x1

Results
Total moment ... 2.76 μB/f.u.

Energetically preferred structure: *P* | next structure: +529 meV/atom

*P*
V3Ga2Mo2 | PBE | relaxed

Unit cell a=9.6676 b=3.2262 c=6.6537 alpha=90.00 beta=99.99 gamma=90.00
Space group C2/m (No. 12)
Asymmetric unit:
V 0.0000 0.0000 0.0000 x2
V 0.2161 0.5000 0.1440 x4
Ga 0.1381 0.0000 0.4163 x4
Mo 0.0838 0.5000 0.7230 x4

Results
Total moment ... 0.00 μB/f.u.

*Q*
V3Ga2Mo2 | PBE | relaxed

Unit cell a=7.5923 b=4.3748 c=6.6412 alpha=90.00 beta=112.27 gamma=90.00
Space group C2/m (No. 12)
Asymmetric unit:
V 0.0000 0.0000 0.0000 x2
V 0.1481 0.0000 0.4438 x4
Ga 0.0714 0.5000 0.7146 x4
Mo 0.2157 0.5000 0.1473 x4

Results
Total moment ... 0.00 μB/f.u.

Energetically preferred structure: *P* | next structure: +58 meV/atom

*P*
GaMoW3 | PBE | relaxed

Unit cell a=4.7497 b=4.7497 c=4.7497 alpha=90.00 beta=90.00 gamma=90.00
Space group Pm-3m (No. 221)
Asymmetric unit:
Ga 0.0000 0.0000 0.0000 x1
Mo 0.5000 0.5000 0.5000 x1
W 0.0000 0.5000 0.5000 x3

Results
Total moment ... 0.00 μB/f.u.

*Q*
GaMoW3 | PBE | relaxed

Unit cell a=4.5332 b=4.5332 c=4.5332 alpha=90.00 beta=90.00 gamma=90.00
Space group Pm-3m (No. 221)
Asymmetric unit:
Ga 0.0000 0.0000 0.0000 x1
Mo 0.5000 0.5000 0.5000 x1
W 0.0000 0.0000 0.5000 x3

Results
Total moment ... 0.00 μB/f.u.

Energetically preferred structure: *Q* | next structure: +221 meV/atom

*P*
Y2GaMo2 | PBE | relaxed

Unit cell a=7.6029 b=7.6029 c=3.7833 alpha=90.00 beta=90.00 gamma=90.00
Space group P4/mbm (No. 127)
Asymmetric unit:
Y 0.1425 0.3575 0.0000 x4
Ga 0.0000 0.0000 0.0000 x2
Mo 0.1650 0.6650 0.5000 x4

Results
Total moment ... 0.00 μB/f.u.

*Q*
Y2GaMo2 | PBE | relaxed

Unit cell a=6.9629 b=6.9629 c=4.5102 alpha=90.00 beta=90.00 gamma=90.00
Space group P4/mbm (No. 127)
Asymmetric unit:
Y 0.1788 0.3212 0.0000 x4
Ga 0.0000 0.0000 0.5000 x2
Mo 0.1201 0.6201 0.5000 x4

Results
Total moment ... 0.00 μB/f.u.

*R*
Y2GaMo2 | PBE | relaxed

Unit cell a=3.5696 b=3.5696 c=18.5204 alpha=90.00 beta=90.00 gamma=90.00
Space group I4/mmm (No. 139)
Asymmetric unit:
Y 0.0000 0.0000 0.1066 x4
Ga 0.0000 0.0000 0.5000 x2
Mo 0.0000 0.5000 0.2500 x4

Results
Total moment ... 0.00 μB/f.u.

Energetically preferred structure: *Q* | next structure: +134 meV/atom

*P*
YGa3Mo | PBE | relaxed

Unit cell a=5.3428 b=5.3428 c=5.3428 alpha=90.00 beta=90.00 gamma=90.00
Space group Pm-3m (No. 221)
Asymmetric unit:
Y 0.0000 0.0000 0.0000 x1
Ga 0.0000 0.0000 0.5000 x3
Mo 0.5000 0.5000 0.5000 x1

Results
Total moment ... 3.13 μB/f.u.

*Q*
YGa3Mo | PBE | relaxed

Unit cell a=4.8277 b=4.8277 c=4.8277 alpha=90.00 beta=90.00 gamma=90.00
Space group Pm-3m (No. 221)
Asymmetric unit:
Y 0.0000 0.0000 0.0000 x1
Ga 0.0000 0.5000 0.5000 x3
Mo 0.5000 0.5000 0.5000 x1

Results
Total moment ... 0.00 μB/f.u.

Energetically preferred structure: *Q* | next structure: +1431 meV/atom

*P*
ZnGa3Mo | PBE | relaxed

Unit cell a=4.7203 b=4.7203 c=4.7203 alpha=90.00 beta=90.00 gamma=90.00
Space group Pm-3m (No. 221)
Asymmetric unit:
Zn 0.0000 0.0000 0.0000 x1
Ga 0.0000 0.0000 0.5000 x3
Mo 0.5000 0.5000 0.5000 x1

Results
Total moment ... 3.44 μB/f.u.

*Q*
ZnGa3Mo | PBE | relaxed

Unit cell a=5.5303 b=7.1116 c=4.6310 alpha=90.00 beta=90.00 gamma=90.00
Space group Pmma (No. 51)
Asymmetric unit:
Zn 0.2500 0.0000 0.0632 x2
Ga 0.2500 0.1835 0.5560 x4
Ga 0.2500 0.5000 0.0048 x2
Mo 0.0000 0.5000 0.5000 x2

Results
Total moment ... 0.00 μB/f.u.

Energetically preferred structure: *Q* | next structure: +897 meV/atom

*P*
ZrGaMo3 | PBE | relaxed

Unit cell a=4.6286 b=4.6286 c=4.6286 alpha=90.00 beta=90.00 gamma=90.00
Space group Pm-3m (No. 221)
Asymmetric unit:
Zr 0.0000 0.0000 0.0000 x1
Ga 0.5000 0.5000 0.5000 x1
Mo 0.0000 0.5000 0.5000 x3

Results
Total moment ... 0.00 μB/f.u.

*Q*
ZrGaMo3 | PBE | relaxed

Unit cell a=4.8123 b=4.8123 c=4.8123 alpha=90.00 beta=90.00 gamma=90.00
Space group Pm-3m (No. 221)
Asymmetric unit:
Zr 0.0000 0.0000 0.0000 x1
Ga 0.5000 0.5000 0.5000 x1
Mo 0.0000 0.0000 0.5000 x3

Results
Total moment ... 0.00 μB/f.u.

Energetically preferred structure: *P* | next structure: +883 meV/atom

*P*
ZrGa3Mo | PBE | relaxed

Unit cell a=4.3561 b=5.9931 c=6.7950 alpha=90.00 beta=90.00 gamma=90.00
Space group Pmmn (No. 59, origin choice 2)
Asymmetric unit:
Zr 0.2500 0.2500 0.2459 x2
Ga 0.2500 0.0439 0.7777 x4
Ga 0.2500 0.7500 0.4522 x2
Mo 0.2500 0.7500 0.0634 x2

Results
Total moment ... 0.00 μB/f.u.

*Q*
ZrGa3Mo | PBE | relaxed

Unit cell a=4.7576 b=4.7576 c=4.7576 alpha=90.00 beta=90.00 gamma=90.00
Space group Pm-3m (No. 221)
Asymmetric unit:
Zr 0.0000 0.0000 0.0000 x1
Ga 0.0000 0.5000 0.5000 x3
Mo 0.5000 0.5000 0.5000 x1

Results
Total moment ... 0.00 μB/f.u.

*R*
ZrGa3Mo | PBE | relaxed

Unit cell a=5.0792 b=5.0792 c=5.0792 alpha=90.00 beta=90.00 gamma=90.00
Space group Pm-3m (No. 221)
Asymmetric unit:
Zr 0.0000 0.0000 0.0000 x1
Ga 0.0000 0.0000 0.5000 x3
Mo 0.5000 0.5000 0.5000 x1

Results
Total moment ... 3.22 μB/f.u.

Energetically preferred structure: *P* | next structure: +514 meV/atom